1.
Here is a relaxed structure of LaZr2Os2 from Alexandria. Energies are from PBE-GGA.

Cell lengths 4.477, 4.477, 6.683 Å; angles 70.43, 70.43, 90.00 degrees
Last column: magnetic moment on the atom in μB.
Sites, in units of the cell vectors:
Zr 0.367 0.367 0.265  0.22
Zr 0.633 0.633 0.735  0.22
Os 0.250 0.750 0.500  0.04
Os 0.750 0.250 0.500  0.04
La 0.000 0.000 0.000  0.21

2.
Here is a relaxed structure of LaZr2Os2 from Alexandria. Energies are from PBE-GGA.

Cell lengths 8.042, 8.042, 3.265 Å; angles 90.00, 90.00, 90.00 degrees
Sites, in units of the cell vectors:
Os 0.854 0.646 0.000
Os 0.354 0.854 0.000
Os 0.646 0.146 0.000
Os 0.146 0.354 0.000
Zr 0.143 0.643 0.500
Zr 0.857 0.357 0.500
Zr 0.643 0.857 0.500
Zr 0.357 0.143 0.500
La 0.500 0.500 0.000
La 0.000 0.000 0.000

Least stable of them? 1.

1.
Here is a relaxed structure of La3P from Alexandria. Energies are from PBE-GGA.

Cell lengths 10.390, 10.390, 10.390 Å; angles 153.78, 153.78, 37.42 degrees
Sites, in units of the cell vectors:
La 0.250 0.750 0.500
La 0.875 0.875 0.000
La 0.000 0.500 0.500
La 0.500 0.000 0.500
La 0.125 0.125 0.000
La 0.750 0.250 0.500
P 0.620 0.620 0.000
P 0.380 0.380 0.000

2.
Here is a relaxed structure of La3P from Alexandria. Energies are from PBE-GGA.

Cell lengths 3.924, 6.484, 9.874 Å; angles 90.00, 90.00, 90.00 degrees
Sites, in units of the cell vectors:
P 0.000 0.000 0.661
P 0.500 0.500 0.339
La 0.500 0.238 0.834
La 0.000 0.500 0.561
La 0.000 0.738 0.166
La 0.500 0.762 0.834
La 0.500 0.000 0.439
La 0.000 0.262 0.166

Least stable of them? 1.

1.
Here is a relaxed structure of La3P from Alexandria. Energies are from PBE-GGA.

Cell lengths 7.417, 7.417, 7.417 Å; angles 150.19, 140.86, 49.96 degrees
Sites, in units of the cell vectors:
P 0.500 0.000 0.500
La 0.331 0.331 0.000
La 0.669 0.669 0.000
La 0.000 0.500 0.500

2.
Here is a relaxed structure of La3P from Alexandria. Energies are from PBE-GGA.

Cell lengths 6.385, 7.767, 9.597 Å; angles 90.00, 90.00, 90.00 degrees
Sites, in units of the cell vectors:
La 0.139 0.041 0.750
La 0.374 0.805 0.453
La 0.874 0.695 0.547
La 0.361 0.541 0.750
La 0.861 0.959 0.250
La 0.626 0.195 0.547
La 0.126 0.305 0.047
La 0.874 0.695 0.953
La 0.626 0.195 0.953
La 0.639 0.459 0.250
La 0.374 0.805 0.047
La 0.126 0.305 0.453
P 0.415 0.108 0.250
P 0.915 0.392 0.750
P 0.585 0.892 0.750
P 0.085 0.608 0.250

Least stable of them? 1.

1.
Here is a relaxed structure of La3P from Alexandria. Energies are from PBE-GGA.

Cell lengths 8.089, 8.089, 4.032 Å; angles 90.00, 90.00, 112.09 degrees
Sites, in units of the cell vectors:
La 0.181 0.456 0.750
La 0.913 0.087 0.250
La 0.456 0.181 0.250
La 0.087 0.913 0.750
La 0.544 0.819 0.750
La 0.819 0.544 0.250
P 0.755 0.245 0.750
P 0.245 0.755 0.250

2.
Here is a relaxed structure of La3P from Alexandria. Energies are from PBE-GGA.

Cell lengths 3.789, 3.789, 8.401 Å; angles 90.00, 90.00, 89.99 degrees
Sites, in units of the cell vectors:
P 0.500 0.500 0.250
La 0.000 0.000 0.437
La 0.000 0.000 0.063
La 0.500 0.500 0.750

Least stable of them? 2.

1.
Here is a relaxed structure of La3P from Alexandria. Energies are from PBE-GGA.

Cell lengths 3.910, 6.564, 6.141 Å; angles 122.31, 108.56, 90.00 degrees
Sites, in units of the cell vectors:
P 0.000 0.078 0.000
La 0.312 0.655 0.625
La 0.688 0.030 0.375
La 0.500 0.404 0.000

2.
Here is a relaxed structure of La3P from Alexandria. Energies are from PBE-GGA.

Cell lengths 4.005, 4.865, 5.891 Å; angles 90.00, 90.00, 90.00 degrees
Sites, in units of the cell vectors:
La 0.500 0.000 0.436
La 0.000 0.000 0.030
La 0.500 0.500 0.868
P 0.000 0.500 0.332

3.
Here is a relaxed structure of La3P from Alexandria. Energies are from PBE-GGA.

Cell lengths 6.138, 6.138, 6.138 Å; angles 90.00, 90.00, 90.00 degrees
Sites, in units of the cell vectors:
La 0.500 0.000 0.250
La 0.750 0.500 0.000
La 0.250 0.500 0.000
La 0.000 0.750 0.500
La 0.500 0.000 0.750
La 0.000 0.250 0.500
P 0.000 0.000 0.000
P 0.500 0.500 0.500

4.
Here is a relaxed structure of La3P from Alexandria. Energies are from PBE-GGA.

Cell lengths 4.778, 4.778, 4.778 Å; angles 90.00, 90.00, 90.00 degrees
Sites, in units of the cell vectors:
La 0.500 0.000 0.500
La 0.000 0.500 0.500
La 0.500 0.500 0.000
P 0.000 0.000 0.000

Least stable of them? 3.

1.
Here is a relaxed structure of La3P from Alexandria. Energies are from PBE-GGA.

Cell lengths 6.511, 6.511, 6.048 Å; angles 90.00, 90.00, 105.80 degrees
Sites, in units of the cell vectors:
La 0.298 0.896 0.250
La 0.279 0.279 0.750
La 0.702 0.104 0.750
La 0.896 0.298 0.250
La 0.721 0.721 0.250
La 0.104 0.702 0.750
P 0.646 0.646 0.750
P 0.354 0.354 0.250

2.
Here is a relaxed structure of La3P from Alexandria. Energies are from PBE-GGA.

Cell lengths 6.040, 6.040, 6.040 Å; angles 115.74, 115.74, 115.74 degrees
Sites, in units of the cell vectors:
La 0.500 0.500 0.000
La 0.000 0.000 0.000
La 0.500 0.000 0.500
P 0.000 0.500 0.500

3.
Here is a relaxed structure of La3P from Alexandria. Energies are from PBE-GGA.

Cell lengths 6.753, 6.753, 10.957 Å; angles 90.00, 90.00, 120.00 degrees
Sites, in units of the cell vectors:
La 0.156 0.844 0.750
La 0.312 0.156 0.250
La 0.000 0.500 0.000
La 0.688 0.844 0.750
La 0.000 0.500 0.500
La 0.156 0.312 0.750
La 0.500 0.500 0.000
La 0.500 0.000 0.000
La 0.844 0.688 0.250
La 0.500 0.000 0.500
La 0.844 0.156 0.250
La 0.500 0.500 0.500
P 0.667 0.333 0.750
P 0.000 0.000 0.000
P 0.000 0.000 0.500
P 0.333 0.667 0.250

Least stable of them? 2.

1.
Here is a relaxed structure of La3P from Alexandria. Energies are from PBE-GGA.

Cell lengths 6.032, 6.032, 6.032 Å; angles 134.37, 134.37, 66.52 degrees
Sites, in units of the cell vectors:
La 0.250 0.750 0.500
La 0.500 0.500 0.000
La 0.750 0.250 0.500
P 0.000 0.000 0.000

2.
Here is a relaxed structure of La3P from Alexandria. Energies are from PBE-GGA.

Cell lengths 10.045, 10.045, 10.045 Å; angles 23.05, 23.05, 23.05 degrees
Sites, in units of the cell vectors:
La 0.274 0.274 0.274
La 0.500 0.500 0.500
La 0.726 0.726 0.726
P 0.000 0.000 0.000

Least stable of them? 1.

1.
Here is a relaxed structure of La3P from Alexandria. Energies are from PBE-GGA.

Cell lengths 4.035, 4.035, 9.632 Å; angles 90.00, 90.00, 120.00 degrees
Sites, in units of the cell vectors:
La 0.000 0.000 0.938
La 0.667 0.333 0.250
La 0.000 0.000 0.562
P 0.667 0.333 0.750

2.
Here is a relaxed structure of La3P from Alexandria. Energies are from PBE-GGA.

Cell lengths 3.956, 6.780, 5.879 Å; angles 64.33, 90.00, 90.00 degrees
Sites, in units of the cell vectors:
La 0.000 0.163 0.418
La 0.500 0.500 0.750
La 0.000 0.837 0.082
P 0.500 0.500 0.250

Least stable of them? 1.

1.
Here is a relaxed structure of La5P from Alexandria. Energies are from PBE-GGA.

Cell lengths 9.248, 9.248, 5.496 Å; angles 90.00, 90.00, 156.10 degrees
Sites, in units of the cell vectors:
La 0.484 0.516 0.500
La 0.753 0.247 0.500
La 0.645 0.355 0.000
La 0.333 0.667 0.000
La 0.004 0.996 0.000
P 0.114 0.886 0.500

2.
Here is a relaxed structure of La5P from Alexandria. Energies are from PBE-GGA.

Cell lengths 6.500, 6.500, 6.500 Å; angles 60.00, 60.00, 60.00 degrees
Sites, in units of the cell vectors:
La 0.623 0.623 0.130
La 0.130 0.623 0.623
La 0.623 0.130 0.623
La 0.623 0.623 0.623
La 0.250 0.250 0.250
P 0.000 0.000 0.000

Least stable of them? 2.

1.
Here is a relaxed structure of La5P from Alexandria. Energies are from PBE-GGA.

Cell lengths 6.295, 6.295, 8.752 Å; angles 80.16, 80.16, 35.90 degrees
Sites, in units of the cell vectors:
La 0.937 0.937 0.978
La 0.015 0.015 0.557
La 0.712 0.712 0.745
La 0.611 0.611 0.217
La 0.319 0.319 0.334
P 0.239 0.239 0.002

2.
Here is a relaxed structure of La5P from Alexandria. Energies are from PBE-GGA.

Cell lengths 3.776, 3.776, 13.711 Å; angles 90.00, 90.00, 90.00 degrees
Last column: magnetic moment on the atom in μB.
Sites, in units of the cell vectors:
La 0.000 0.000 0.115  0.09
La 0.500 0.500 0.310  0.05
La 0.000 0.000 0.885  0.09
La 0.000 0.000 0.500  -0.04
La 0.500 0.500 0.690  0.05
P 0.500 0.500 0.000  0.00

Least stable of them? 2.

1.
Here is a relaxed structure of La4P3 from Alexandria. Energies are from PBE-GGA.

Cell lengths 5.962, 5.962, 5.721 Å; angles 90.00, 90.00, 120.00 degrees
Sites, in units of the cell vectors:
La 0.000 0.000 0.236
La 0.333 0.667 0.500
La 0.667 0.333 0.500
La 0.000 0.000 0.764
P 0.000 0.500 0.000
P 0.500 0.500 0.000
P 0.500 0.000 0.000

2.
Here is a relaxed structure of La4P3 from Alexandria. Energies are from PBE-GGA.

Cell lengths 4.248, 4.248, 14.010 Å; angles 81.28, 81.28, 60.00 degrees
Sites, in units of the cell vectors:
P 0.248 0.248 0.257
P 0.000 0.000 0.000
P 0.752 0.752 0.743
La 0.374 0.374 0.878
La 0.122 0.122 0.633
La 0.626 0.626 0.122
La 0.878 0.878 0.367

3.
Here is a relaxed structure of La4P3 from Alexandria. Energies are from PBE-GGA.

Cell lengths 12.031, 12.031, 12.031 Å; angles 160.20, 160.20, 28.15 degrees
Sites, in units of the cell vectors:
La 0.190 0.190 0.000
La 0.438 0.438 0.000
La 0.810 0.810 0.000
La 0.562 0.562 0.000
P 0.316 0.316 0.000
P 0.684 0.684 0.000
P 0.000 0.000 0.000

Least stable of them? 1.